# 1
Ta3PdW, optimized geometry, DFT PBE; formation energy from the elements = 1.55 eV per atom; magnetization = 0.00 μB per formula unit; Fermi-level density of states = 8.28 states/eV per cell; final energy = -9.193 eV/atom
1.0
4.837 0.000 0.000
0.000 4.837 0.000
0.000 0.000 4.837
Ta Pd W
3 1 1
Direct
0.000 0.000 0.500
0.000 0.500 0.000
0.500 0.000 0.000
0.500 0.500 0.500
0.000 0.000 0.000

# 2
PrPa6Se8, optimized geometry, DFT PBE; magnetization = 5.79 μB per formula unit; Fermi-level density of states = 26.24 states/eV per cell; ΔE_f (raw) = -1.140 eV per atom; final energy = -7.116 eV/atom
1.0
4.347 2.510 5.770
-4.347 2.510 5.770
0.000 -5.020 5.770
Pr Pa Se
1 6 8
Direct
0.000 0.000 0.000
0.071 0.447 0.702
0.298 0.929 0.553
0.447 0.702 0.071
0.553 0.298 0.929
0.702 0.071 0.447
0.929 0.553 0.298
0.099 0.802 0.381
0.198 0.619 0.901
0.333 0.333 0.333
0.381 0.099 0.802
0.619 0.901 0.198
0.667 0.667 0.667
0.802 0.381 0.099
0.901 0.198 0.619